Material: CSeF
Method: DFT, GGA-PBE
State: optimized geometry

The structure in POSCAR format:
```
CSeF
1.0
3.774 0.000 0.000
-1.325 5.570 0.000
-0.445 -2.193 5.541
C Se F
2 2 2
Cartesian
0.634 0.191 0.380
1.371 3.186 5.161
0.565 4.231 0.676
1.439 -0.854 4.865
0.277 0.790 1.575
1.728 2.588 3.966
```

Space group ... No. 2
Energy above the lowest structure with this stoichiometry ... 17.0 meV/atom
E ... -5.170 eV/atom
Uncorrected formation energy ... -0.310 eV per atom
Crystal system ... triclinic
Calculated density ... 3.14 g/cm³